Density functional theory data (PBE-GGA) for an optimized crystal structure of MgFeSb2.

Lattice parameters (Å, degrees): 3.179 4.020 13.347 90.00 90.00 90.00
Sites, in units of the cell vectors:
Mg 0.000 0.000 0.000
Mg 0.500 0.500 0.500
Fe 0.000 0.500 0.718
Fe 0.500 0.000 0.218
Sb 0.000 0.000 0.373
Sb 0.000 0.500 0.162
Sb 0.500 0.000 0.662
Sb 0.500 0.500 0.873

Summary:
E_form (uncorrected) = 0.0703 eV per atom
Crystal system = orthorhombic
Polymorph energy (0 for the lowest one) = 2.9 kJ per mole of atoms
E = -36.04 eV for the cell shown
Space group = Imm2, No. 44
DOS(E_F) = 6.30 states/eV per cell


Density functional theory data (PBE-GGA) for an optimized crystal structure of SrNdBr5.

Lattice parameters (Å, degrees): 8.496 4.409 14.124 90.00 92.92 90.00
Sites, in units of the cell vectors:
Sr 0.085 0.250 0.141
Sr 0.915 0.750 0.859
Nd 0.423 0.750 0.350
Nd 0.577 0.250 0.650
Br 0.081 0.750 0.318
Br 0.144 0.250 0.926
Br 0.321 0.250 0.482
Br 0.360 0.750 0.143
Br 0.375 0.750 0.702
Br 0.625 0.250 0.298
Br 0.640 0.250 0.857
Br 0.679 0.750 0.518
Br 0.856 0.750 0.074
Br 0.919 0.250 0.682

Summary:
E_form (uncorrected) = -1.9494 eV per atom
Crystal system = monoclinic
E = -56.92 eV for the cell shown
Space group = P2_1/m, No. 11
DOS(E_F) = 0.00 states/eV per cell


Density functional theory data (PBE-GGA) for an optimized crystal structure of TeRu.

Lattice parameters (Å, degrees): 3.908 11.348 5.907 90.00 90.00 90.00
Sites, in units of the cell vectors:
Te 0.000 0.000 0.000
Te 0.000 0.500 0.500
Te 0.500 0.174 0.451
Te 0.500 0.326 0.951
Te 0.500 0.674 0.951
Te 0.500 0.826 0.451
Ru 0.000 0.204 0.772
Ru 0.000 0.296 0.272
Ru 0.000 0.704 0.272
Ru 0.000 0.796 0.772
Ru 0.500 0.000 0.721
Ru 0.500 0.500 0.221

Summary:
E_form (uncorrected) = 0.1046 eV per atom
Crystal system = orthorhombic
E = -73.25 eV for the cell shown
Space group = Amm2, No. 38
DOS(E_F) = 11.81 states/eV per cell